No. 1
A relaxed Li5Tl6Zn crystal, computed with PBE.

Calculated values
Formation energy from the elements: -0.159 eV/atom

a = 4.894 Å, b = 7.241 Å, c = 14.574 Å
α = 90.00°, β = 90.00°, γ = 90.00°
Space group Immm (No. 71)
Symmetry-distinct sites (fractional):
Li (0.000, 0.000, 0.000) (multiplicity 2)
Li (0.000, 0.000, 0.336) (multiplicity 4)
Li (0.000, 0.500, 0.334) (multiplicity 4)
Tl (0.000, 0.250, 0.167) (multiplicity 8)
Tl (0.000, 0.253, 0.500) (multiplicity 4)
Zn (0.000, 0.500, 0.000) (multiplicity 2)

---

No. 2
A relaxed PaCrPt2 crystal, computed with PBE.

Calculated values
Formation energy from the elements: -0.593 eV/atom
Energy above the most stable polymorph in this dataset: 0.0 meV/atom

a = 4.097 Å, b = 4.097 Å, c = 4.195 Å
α = 90.00°, β = 90.00°, γ = 90.00°
Space group P4/mmm (No. 123)
Symmetry-distinct sites (fractional):
Pa (0.000, 0.000, 0.000) (multiplicity 1)
Cr (0.500, 0.500, 0.000) (multiplicity 1)
Pt (0.000, 0.500, 0.500) (multiplicity 2)

---

No. 3
A relaxed ScTlCl2 crystal, computed with PBE.

Calculated values
E_form (uncorrected): -0.8642 eV/atom
Energy above the most stable polymorph in this dataset: 446.5 meV/atom

a = 3.682 Å, b = 6.363 Å, c = 9.459 Å
α = 90.00°, β = 90.00°, γ = 90.00°
Space group Cmm2 (No. 35)
Symmetry-distinct sites (fractional):
Sc (0.000, 0.000, 0.000) (multiplicity 2)
Tl (0.000, 0.500, 0.746) (multiplicity 2)
Cl (0.000, 0.000, 0.540) (multiplicity 2)
Cl (0.000, 0.500, 0.178) (multiplicity 2)

---

What DFT total energy values result from the calculations? In sequence: -53.904 -33.573 -31.696 eV per cell.